# TcNi2W

A geometry-optimized TcNi2W structure (PBE, the Alexandria database).

Values from the calculation:
**Total magnetization**: 0.00 μB/cell
**Volume**: 52.5 Å³/f.u.
**E above lowest polymorph**: 0.43 eV per formula unit

CIF file:
```
data_TcNi2W
_chemical_formula_sum 'Tc1 Ni2 W1'
_cell_length_a 2.610
_cell_length_b 2.610
_cell_length_c 7.706
_cell_angle_alpha 90.00
_cell_angle_beta 90.00
_cell_angle_gamma 90.00
_symmetry_space_group_name_H-M 'P 4/m m m'
_symmetry_Int_Tables_number 123
_symmetry_space_group_name_Hall '-P 4 2'
loop_
_atom_site_label
_atom_site_type_symbol
_atom_site_fract_x
_atom_site_fract_y
_atom_site_fract_z
_atom_site_occupancy
Tc1 Tc 0.000 0.000 0.000 1
Ni1 Ni 0.500 0.500 0.247 1
W1 W 0.000 0.000 0.500 1
```

=====

# Cr4InTe8

A geometry-optimized Cr4InTe8 structure (PBE, the Alexandria database).

Values from the calculation:
**Total magnetization**: 44.24 μB/cell
**Formation energy without anion corrections**: -0.22 eV/atom
**Volume**: 379.7 Å³/f.u.

CIF file:
```
data_Cr4InTe8
_chemical_formula_sum 'Cr16 In4 Te32'
_cell_length_a 11.495
_cell_length_b 11.495
_cell_length_c 11.495
_cell_angle_alpha 90.00
_cell_angle_beta 90.00
_cell_angle_gamma 90.00
_symmetry_space_group_name_H-M 'F -4 3 m'
_symmetry_Int_Tables_number 216
_symmetry_space_group_name_Hall 'F -4 2 3'
loop_
_atom_site_label
_atom_site_type_symbol
_atom_site_fract_x
_atom_site_fract_y
_atom_site_fract_z
_atom_site_occupancy
Cr1 Cr 0.118 0.118 0.382 1
In1 In 0.000 0.000 0.000 1
Te1 Te 0.117 0.117 0.617 1
Te2 Te 0.141 0.141 0.141 1
```

=====

# Th2Pd7Pt3

A geometry-optimized Th2Pd7Pt3 structure (PBE, the Alexandria database).

Values from the calculation:
**Total magnetization**: 0.00 μB/cell
**Volume**: 227.9 Å³/f.u.
**Raw total energy**: -6.17 eV per atom

CIF file:
```
data_Th2Pd7Pt3
_chemical_formula_sum 'Th2 Pd7 Pt3'
_cell_length_a 3.950
_cell_length_b 3.705
_cell_length_c 15.696
_cell_angle_alpha 90.00
_cell_angle_beta 97.17
_cell_angle_gamma 90.00
_symmetry_space_group_name_H-M 'P 1 2/m 1'
_symmetry_Int_Tables_number 10
loop_
_symmetry_equiv_pos_as_xyz
'x,y,z'
'-x,-y,-z'
'-x,y,-z'
'x,-y,z'
loop_
_atom_site_label
_atom_site_type_symbol
_atom_site_fract_x
_atom_site_fract_y
_atom_site_fract_z
_atom_site_occupancy
Th1 Th 0.139 0.000 0.278 1
Pd1 Pd 0.068 0.500 0.136 1
Pd2 Pd 0.223 0.000 0.446 1
Pd3 Pd 0.431 0.000 0.862 1
Pd4 Pd 0.500 0.500 0.000 1
Pt1 Pt 0.000 0.000 0.000 1
Pt2 Pt 0.308 0.500 0.617 1
```

=====

# ZrFe2Rh

A geometry-optimized ZrFe2Rh structure (PBE, the Alexandria database).

Values from the calculation:
**Total magnetization**: 5.03 μB/cell
**Volume**: 59.8 Å³/f.u.
**Raw total energy**: -8.43 eV per atom

CIF file:
```
data_ZrFe2Rh
_chemical_formula_sum 'Zr1 Fe2 Rh1'
_cell_length_a 3.141
_cell_length_b 3.141
_cell_length_c 6.061
_cell_angle_alpha 90.00
_cell_angle_beta 90.00
_cell_angle_gamma 90.00
_symmetry_space_group_name_H-M 'P 4 m m'
_symmetry_Int_Tables_number 99
loop_
_symmetry_equiv_pos_as_xyz
'x,y,z'
'-y,x,z'
'-x,-y,z'
'y,-x,z'
'-x,y,z'
'y,x,z'
'x,-y,z'
'-y,-x,z'
loop_
_atom_site_label
_atom_site_type_symbol
_atom_site_fract_x
_atom_site_fract_y
_atom_site_fract_z
_atom_site_occupancy
Zr1 Zr 0.000 0.000 0.000 1
Fe1 Fe 0.000 0.000 0.524 1
Fe2 Fe 0.500 0.500 0.733 1
Rh1 Rh 0.500 0.500 0.274 1
```

=====

# MnMoPb

A geometry-optimized MnMoPb structure (PBE, the Alexandria database).

Values from the calculation:
**Total magnetization**: 11.06 μB/cell
**Volume**: 56.3 Å³/f.u.
**E above lowest polymorph**: 0.26 eV per formula unit

CIF file:
```
data_MnMoPb
_chemical_formula_sum 'Mn4 Mo4 Pb4'
_cell_length_a 3.406
_cell_length_b 4.957
_cell_length_c 13.343
_cell_angle_alpha 90.00
_cell_angle_beta 90.00
_cell_angle_gamma 90.00
_symmetry_space_group_name_H-M 'F m m 2'
_symmetry_Int_Tables_number 42
_symmetry_space_group_name_Hall 'F 2 -2'
loop_
_atom_site_label
_atom_site_type_symbol
_atom_site_fract_x
_atom_site_fract_y
_atom_site_fract_z
_atom_site_occupancy
Mn1 Mn 0.000 0.000 0.000 1
Mo1 Mo 0.000 0.000 0.362 1
Pb1 Pb 0.000 0.000 0.680 1
```